[1]
# Mg2ScFe2, optimized geometry, DFT GGA-PBE
# Total magnetic moment = 6.87 Bohr magnetons per cell
# Density of states at the Fermi level = 12.7 states/eV per cell
# E_form = 0.22 eV/atom
# Space-group type = P4/mbm
# Crystal system = tetragonal
# Electronic total energy = -25.32 eV/f.u.
data_Mg2ScFe2
_cell_length_a 6.759
_cell_length_b 6.759
_cell_length_c 3.829
_cell_angle_alpha 90.00
_cell_angle_beta 90.00
_cell_angle_gamma 90.00
_symmetry_space_group_name_H-M 'P 1'
_symmetry_Int_Tables_number 1
loop_
_symmetry_equiv_pos_as_xyz
'x,y,z'
loop_
_atom_site_label
_atom_site_type_symbol
_atom_site_fract_x
_atom_site_fract_y
_atom_site_fract_z
_atom_site_occupancy
Mg1 Mg 0.168 0.332 0.000 1
Mg2 Mg 0.332 0.832 0.000 1
Mg3 Mg 0.668 0.168 0.000 1
Mg4 Mg 0.832 0.668 0.000 1
Sc1 Sc 0.000 0.000 0.500 1
Sc2 Sc 0.500 0.500 0.500 1
Fe1 Fe 0.119 0.619 0.500 1
Fe2 Fe 0.381 0.119 0.500 1
Fe3 Fe 0.619 0.881 0.500 1
Fe4 Fe 0.881 0.381 0.500 1

---

[2]
# Mg2ScFe, optimized geometry, DFT GGA-PBE
# Total magnetic moment = 2.01 Bohr magnetons per cell
# Density of states at the Fermi level = 4.2 states/eV per cell
# E_form = 0.19 eV/atom
# Space-group type = P4/mmm
# Crystal system = tetragonal
# Electronic total energy = -17.21 eV/f.u.
data_Mg2ScFe
_cell_length_a 3.320
_cell_length_b 3.320
_cell_length_c 6.939
_cell_angle_alpha 90.00
_cell_angle_beta 90.00
_cell_angle_gamma 90.00
_symmetry_space_group_name_H-M 'P 1'
_symmetry_Int_Tables_number 1
loop_
_symmetry_equiv_pos_as_xyz
'x,y,z'
loop_
_atom_site_label
_atom_site_type_symbol
_atom_site_fract_x
_atom_site_fract_y
_atom_site_fract_z
_atom_site_occupancy
Mg1 Mg 0.000 0.000 0.209 1
Mg2 Mg 0.000 0.000 0.791 1
Sc1 Sc 0.500 0.500 0.500 1
Fe1 Fe 0.500 0.500 0.000 1